1.
A relaxed structure of HoCo2P, computed with PBE.

Cell: 3.8777 5.2764 5.9642 Å, 90.00 90.00 90.00°
Last column: magnetic moment on the atom in μB.
Atoms (fractional coordinates):
1 Co 0.0000 0.6561 0.1225  0.94
2 Co 0.0000 0.3839 0.4256  0.92
3 Co 0.5000 0.3439 0.6225  0.92
4 Co 0.5000 0.6161 0.9256  0.94
5 Ho 0.5000 0.1218 0.1256  -0.13
6 Ho 0.0000 0.8782 0.6256  -0.13
7 P 0.5000 0.6330 0.3263  0.02
8 P 0.0000 0.3670 0.8263  0.02

Calculated values
SG	No. 31

---

2.
A relaxed structure of Nb4CuC2S, computed with PBE.

Cell: 3.2419 3.2419 12.2935 Å, 90.00 90.00 120.00°
Atoms (fractional coordinates):
1 C 0.3333 0.6667 0.2452
2 C 0.3333 0.6667 0.7548
3 Cu 0.6667 0.3333 0.5000
4 Nb 0.6667 0.3333 0.1447
5 Nb 0.0000 0.0000 0.3348
6 Nb 0.0000 0.0000 0.6652
7 Nb 0.6667 0.3333 0.8553
8 S 0.0000 0.0000 0.0000

Calculated values
SG	No. 187

---

3.
A relaxed structure of Nb2ZnPt, computed with PBE.

Cell: 4.5454 4.5454 4.5454 Å, 60.00 60.00 60.00°
Atoms (fractional coordinates):
1 Nb 0.5000 0.5000 0.5000
2 Nb 0.7500 0.7500 0.7500
3 Pt 0.2500 0.2500 0.2500
4 Zn 0.0000 0.0000 0.0000

Calculated values
ΔE_f	-79.6	meV per atom
SG	No. 216

---

4.
A relaxed structure of HfPdPb, computed with PBE.

Cell: 3.5516 3.5516 10.2623 Å, 90.00 90.00 90.00°
Atoms (fractional coordinates):
1 Hf 0.0000 0.5000 0.3063
2 Hf 0.5000 0.0000 0.6937
3 Pb 0.5000 0.0000 0.1189
4 Pb 0.0000 0.5000 0.8811
5 Pd 0.5000 0.0000 0.4247
6 Pd 0.0000 0.5000 0.5753

Calculated values
SG	No. 129

---

5.
A relaxed structure of Dy2Ho2CI4Cl, computed with PBE.

Cell: 9.8215 9.8215 8.1855 Å, 101.53 101.53 22.84°
Atoms (fractional coordinates):
1 C 0.5000 0.5000 0.0000
2 Cl 0.5000 0.5000 0.5000
3 Dy 0.9991 0.9991 0.2028
4 Dy 0.0009 0.0009 0.7972
5 Ho 0.6262 0.6262 0.0631
6 Ho 0.3738 0.3738 0.9369
7 I 0.8339 0.8339 0.1870
8 I 0.1612 0.1612 0.3497
9 I 0.8388 0.8388 0.6503
10 I 0.1661 0.1661 0.8130

Calculated values
SG	No. 12

---

6.
A relaxed structure of PmLu, computed with PBE.

Cell: 3.6130 3.6130 5.6776 Å, 90.00 90.00 120.00°
Atoms (fractional coordinates):
1 Lu 0.6667 0.3333 0.7500
2 Pm 0.3333 0.6667 0.2500

Calculated values
ΔE_f	34.5	meV per atom
SG	No. 187

---

Summary of DFT total energy in eV per atom
-6.6595; -8.8263; -6.9568; -6.6058; -4.7429; -4.6000
(order as listed above)